Entry 1:
A relaxed structure of CrNi2Os, computed with PBE. Values from VASP.

The structure in Quantum ESPRESSO input format:
```
&SYSTEM
  ibrav = 0, nat = 4, ntyp = 3
/
ATOMIC_SPECIES
Os 190.23 Os.upf
Ni 58.69 Ni.upf
Cr 52.00 Cr.upf
ATOMIC_POSITIONS crystal
Os 0.750 0.750 0.750
Ni 0.000 0.000 0.000
Cr 0.500 0.500 0.500
Ni 0.250 0.250 0.250
CELL_PARAMETERS angstrom
4.098 0.000 0.000
2.049 3.549 0.000
2.049 1.183 3.346
```

Calculated values
Its magnetization is 0.079 μB per cell. The space group is No. 216. The total DFT energy (no corrections) comes out at -31.8 eV for the cell shown. Its formation energy is 0.7 eV per formula unit. For the energy above the lowest structure with this stoichiometry, the calculation gives 0.55 eV per formula unit.



Entry 2:
A relaxed structure of Cs2SmRuO6, computed with PBE. Values from VASP.

The structure in Quantum ESPRESSO input format:
```
&SYSTEM
  ibrav = 0, nat = 10, ntyp = 4
/
ATOMIC_SPECIES
O 16.00 O.upf
Cs 132.91 Cs.upf
Sm 150.36 Sm.upf
Ru 101.07 Ru.upf
ATOMIC_POSITIONS crystal
O 0.799 0.132 0.868
Cs 0.135 0.333 0.667
Sm 0.500 0.000 0.000
O 0.201 0.868 0.736
O 0.201 0.868 0.132
Ru 0.000 0.000 0.000
O 0.799 0.132 0.264
O 0.799 0.736 0.868
O 0.201 0.264 0.132
Cs 0.865 0.667 0.333
CELL_PARAMETERS angstrom
5.879 0.000 0.000
0.000 6.663 0.000
0.000 -3.332 5.770
```

Calculated values
Its magnetization is 1.049 μB per cell. The space group is No. 164. The total DFT energy (no corrections) comes out at -61.2 eV for the cell shown. The calculation puts the formation energy (no corrections) at -1578 meV/atom.



Entry 3:
A relaxed structure of Pr8Co3CuCl4, computed with PBE. Values from VASP.

The structure in Quantum ESPRESSO input format:
```
&SYSTEM
  ibrav = 0, nat = 16, ntyp = 4
/
ATOMIC_SPECIES
Co 58.93 Co.upf
Pr 140.91 Pr.upf
Cl 35.45 Cl.upf
Cu 63.55 Cu.upf
ATOMIC_POSITIONS crystal
Co 0.500 0.500 0.500
Co 0.000 0.500 0.500
Pr 0.241 0.704 0.481
Cl 0.000 0.000 0.000
Pr 0.759 0.296 0.037
Pr 0.723 0.704 0.963
Pr 0.241 0.704 0.963
Pr 0.266 0.297 0.531
Cu 0.000 0.500 0.000
Pr 0.759 0.296 0.519
Cl 0.500 0.000 0.000
Pr 0.277 0.296 0.037
Pr 0.734 0.703 0.469
Co 0.500 0.500 0.000
Cl 0.500 0.000 0.500
Cl 0.000 0.000 0.500
CELL_PARAMETERS angstrom
-4.713 5.077 -4.192
-7.017 -2.524 4.831
6.427 2.835 4.027
```

Calculated values
Its magnetization is 0.000 μB per cell. The space group is No. 166. The total DFT energy (no corrections) comes out at -83.9 eV for the cell shown. The calculation puts the formation energy (no corrections) at -805 meV/atom.